Density functional theory data (PBE+U) for a relaxed TlCr4Fe3O12 crystal.

Lattice parameters (Å, degrees): 7.478 7.478 7.478 90.00 90.00 90.00
Space group Im-3 (No. 204)
Unique sites:
Tl1 0.000 0.000 0.000
Cr1 0.250 0.250 0.250
Fe1 0.000 0.000 0.500
O1 0.000 0.311 0.178

## Properties
- Calculated volume: 209.1 Å³/f.u.
- VASP energy: -275.08 eV for the cell shown
- DOS at the Fermi energy: 0.217 states/eV per atom
- Magnetization: 1.03 μB per atom